## V2BiPbO8 (GGA+U)

Data for a geometry-optimized V2BiPbO8 structure. Values from VASP.

The structure in Quantum ESPRESSO input format:
```
&SYSTEM
  ibrav = 0, nat = 12, ntyp = 4
/
ATOMIC_SPECIES
Pb 207.20 Pb.upf
O 16.00 O.upf
Bi 208.98 Bi.upf
V 50.94 V.upf
CELL_PARAMETERS angstrom
-0.7947 -1.7351 -5.5278
5.1923 2.0938 1.6896
2.0710 -6.5559 1.7601
ATOMIC_POSITIONS angstrom
Pb 0.0000 0.0000 0.0000
O 3.4049 -1.8832 -2.9943
O 5.2945 -4.1335 -1.0360
O 0.7664 -2.9460 -3.8485
O 5.7021 -3.2513 1.7705
O 3.0636 -4.3141 0.9163
O 3.2409 0.6772 -0.6785
O 1.1740 -2.0638 -1.0420
O 3.2276 -6.8744 -1.3996
Bi 1.0355 -3.2780 0.8801
V 4.8301 -4.3535 0.6721
V 1.6384 -1.8437 -2.7502
```

Summary:
The space-group type is P-3m1 (164). The calculation puts the total DFT energy (no corrections) at -6.682 eV/atom.